Computed, not measured: Cs2NaFeBr6 after structural relaxation at the GGA-PBE level of DFT.

Cell lengths 7.6933, 7.6933, 7.0597 Å; angles 90.00, 90.00, 120.00 degrees
Space group P-3m1 (No. 164)
Asymmetric unit:
Cs 0.3333 0.6667 0.2024 (multiplicity 2)
Na 0.0000 0.0000 0.5000 (multiplicity 1)
Fe 0.0000 0.0000 0.0000 (multiplicity 1)
Br 0.1518 0.3036 0.7976 (multiplicity 6)

Values from the calculation:
**Raw total energy**: -3.304 eV per atom
**Raw formation energy**: -1111 kJ/mol of formula units
**Size of the total moment**: 0.98 μB per formula unit